{"formula": "Sr2FeAu", "functional": "PBE", "state": "relaxed", "vol_a3_per_atom": 31.45, "lattice": [[-1.0182, 3.0238, -2.3508], [2.1701, -2.2728, -3.8634], [-5.4990, -2.9184, -1.3720]], "species": ["Au", "Fe", "Sr", "Sr"], "frac_coords": [[0.0000, 0.0000, 0.3981], [0.5000, 0.5000, 0.8516], [0.5000, 0.5000, 0.3554], [0.0000, 0.0000, 0.8948]]}

***

{"formula": "SrFeAu", "functional": "PBE", "state": "relaxed", "vol_a3_per_atom": 23.84, "lattice": [[-1.7753, -2.8590, 5.0269], [-2.8946, -5.2700, 0.6661], [4.5765, 2.8453, -2.7487]], "species": ["Fe", "Au", "Sr"], "frac_coords": [[0.3865, 0.3865, 0.0000], [0.9514, 0.9514, 0.0000], [0.6621, 0.6621, 0.0000]]}

***

{"formula": "SrFeAu2", "functional": "PBE", "state": "relaxed", "vol_a3_per_atom": 28.23, "lattice": [[5.1611, 0.0000, 0.0000], [0.0000, 5.1611, 0.0000], [2.5806, 2.5806, 8.4783]], "species": ["Au", "Au", "Au", "Au", "Sr", "Sr", "Fe", "Fe"], "frac_coords": [[0.3750, 0.5382, 0.7500], [0.8750, 0.7118, 0.7500], [0.2882, 0.6250, 0.2500], [0.4618, 0.1250, 0.2500], [0.7500, 0.2500, 0.5000], [0.0000, 0.0000, 0.0000], [0.2500, 0.7500, 0.5000], [0.5000, 0.5000, 0.0000]]}

***

Number 1: formation energy from the elements 0.241 eV/atom, total magnetic moment 0.603 μB/atom. Number 2: formation energy from the elements 0.117 eV/atom, total magnetic moment 1.009 μB/atom. Number 3: formation energy from the elements 0.056 eV/atom, total magnetic moment 0.733 μB/atom.